Entry 1:
# Zr2MnCo (PBE-GGA, optimized geometry)
# Total DFT energy (no corrections) in eV for the cell shown: -97.8
# N(E_F) in states/eV/atom: 0.89
# Magnetic moment in μB per cell: 2.0
# Energy of formation from the pure elements in eV/atom: 0.19
data_Zr2MnCo
_chemical_formula_sum 'Zr6 Mn3 Co3'
_cell_length_a 3.1685
_cell_length_b 3.1685
_cell_length_c 23.2773
_cell_angle_alpha 90.00
_cell_angle_beta 90.00
_cell_angle_gamma 120.00
_space_group_name_H-M_alt 'R -3 m'
_space_group_IT_number 166
_space_group_name_Hall '-R 3 2"'
loop_
_atom_site_label
_atom_site_type_symbol
_atom_site_fract_x
_atom_site_fract_y
_atom_site_fract_z
Zr1 Zr 0.0000 0.0000 0.2505
Mn1 Mn 0.0000 0.0000 0.0000
Co1 Co 0.0000 0.0000 0.5000



Entry 2:
# RbBPb (PBE-GGA, optimized geometry)
# Total DFT energy (no corrections) in eV for the cell shown: -43.1
# N(E_F) in states/eV/atom: 0.72
# Magnetic moment in μB per cell: 0.0
# Energy of formation from the pure elements in eV/atom: 0.19
data_RbBPb
_chemical_formula_sum 'Rb4 B4 Pb4'
_cell_length_a 4.7696
_cell_length_b 23.1978
_cell_length_c 3.2561
_cell_angle_alpha 90.00
_cell_angle_beta 90.00
_cell_angle_gamma 90.00
_space_group_name_H-M_alt 'C m c 21'
_space_group_IT_number 36
loop_
_space_group_symop_operation_xyz
'x,y,z'
'-x,-y,z+1/2'
'-x,y,z'
'x,-y,z+1/2'
'x+1/2,y+1/2,z'
'-x+1/2,-y+1/2,z+1/2'
'-x+1/2,y+1/2,z'
'x+1/2,-y+1/2,z+1/2'
loop_
_atom_site_label
_atom_site_type_symbol
_atom_site_fract_x
_atom_site_fract_y
_atom_site_fract_z
Rb1 Rb 0.0000 0.0931 0.0000
B1 B 0.0000 0.4989 0.0276
Pb1 Pb 0.0000 0.2847 0.9988



Q: N(E_F) of number 1 (Zr2MnCo)?
A: 0.89 states/eV/atom